Density functional theory data (GGA-PBEsol) for a relaxed Cs2SrZrNb crystal.

Structure (POSCAR):
```
Cs2SrZrNb
1.0
6.2321 0.0000 0.0000
0.0000 6.2321 0.0000
0.0000 0.0000 5.5937
Cs Sr Zr Nb
2 1 1 1
Cartesian
0.0000 3.1161 0.0000 Cs
3.1161 0.0000 0.0000 Cs
0.0000 0.0000 0.0000 Sr
0.0000 0.0000 2.7968 Zr
3.1161 3.1161 2.7968 Nb
```

Results
Energy in eV per cell: -12.58
Energy relative to the elements in kJ per mole of atoms: 213

Density functional theory data (GGA-PBEsol) for a relaxed MnAlAg crystal.

Structure (POSCAR):
```
MnAlAg
1.0
5.9202 0.0000 0.0000
0.0000 5.9202 0.0000
0.0000 0.0000 5.9202
Mn Al Ag
4 4 4
Cartesian
0.0000 0.0000 0.0000 Mn
0.0000 2.9601 2.9601 Mn
2.9601 0.0000 2.9601 Mn
2.9601 2.9601 0.0000 Mn
1.4800 1.4800 1.4800 Al
1.4800 4.4401 4.4401 Al
4.4401 1.4800 4.4401 Al
4.4401 4.4401 1.4800 Al
0.0000 0.0000 2.9601 Ag
0.0000 2.9601 0.0000 Ag
2.9601 0.0000 0.0000 Ag
2.9601 2.9601 2.9601 Ag
```

Results
Energy in eV per cell: -63.40
Energy relative to the elements in kJ per mole of atoms: 42

Density functional theory data (GGA-PBEsol) for a relaxed Li2VP2O7 crystal.

Structure (POSCAR):
```
Li2VP2O7
1.0
5.1376 0.0000 0.0000
-1.6151 6.3993 0.0000
-1.0283 -3.5198 7.7852
Li V P O
4 2 4 14
Cartesian
0.4475 1.2104 0.5001 Li
-0.2155 1.9479 5.5732 Li
2.7097 0.9316 2.2119 Li
2.0466 1.6691 7.2851 Li
-0.0699 -0.6588 2.8369 V
2.5640 3.5383 4.9483 V
-0.1981 2.8274 2.8392 P
0.6509 4.8686 0.8708 P
1.8433 -1.9891 6.9144 P
2.6922 0.0521 4.9459 P
-1.4654 3.6483 3.1540 O
-0.5413 1.3764 2.4611 O
-0.7171 5.6030 0.9361 O
0.3384 3.3705 1.4191 O
0.8225 -2.6232 5.9920 O
0.1358 1.1620 7.2521 O
0.8613 2.8858 3.9148 O
1.6329 -0.0063 3.8704 O
2.3584 1.7175 0.5331 O
1.6717 5.5027 1.7932 O
2.1558 -0.4909 6.3661 O
3.2113 -2.7234 6.8491 O
3.0354 1.5031 5.3241 O
3.9595 -0.7688 4.6312 O
```

Results
Energy in eV per cell: -176.52
Formation energy (no corrections) in kJ/mol of atoms: -212.0
Relative energy among the computed polymorphs in eV per formula unit: 0.19

Density functional theory data (GGA-PBEsol) for a relaxed HfOF2 crystal.

Structure (POSCAR):
```
HfOF2
1.0
3.1721 0.0000 0.0000
-1.5860 2.7471 0.0000
0.0000 0.0000 26.2762
Hf O F
3 3 6
Cartesian
0.0000 0.0000 0.0000 Hf
0.0000 1.8314 17.5175 Hf
1.5861 0.9157 8.7587 Hf
0.0000 0.0000 13.1381 O
0.0000 1.8314 4.3794 O
1.5861 0.9157 21.8968 O
0.0000 0.0000 1.8970 F
0.0000 0.0000 24.3792 F
0.0000 1.8314 15.6205 F
0.0000 1.8314 19.4145 F
1.5861 0.9157 6.8617 F
1.5861 0.9157 10.6557 F
```

Results
Energy in eV per cell: -70.68
Formation energy (no corrections) in kJ/mol of atoms: -95.3

Density functional theory data (GGA-PBEsol) for a relaxed Dy3CuGeS7 crystal.

Structure (POSCAR):
```
Dy3CuGeS7
1.0
9.7469 0.0000 0.0000
-4.8735 8.4411 0.0000
0.0000 0.0000 5.6688
Dy Cu Ge S
6 2 2 14
Cartesian
-2.4947 6.5354 0.0000 Dy
0.4610 3.0129 0.0000 Dy
2.8397 1.1072 2.8344 Dy
2.0337 7.3338 0.0000 Dy
4.4125 5.4282 2.8344 Dy
7.3682 1.9057 2.8344 Dy
0.0000 0.0000 2.6025 Cu
0.0000 0.0000 5.4369 Cu
0.0000 5.6274 3.2961 Ge
4.8735 2.8137 0.4617 Ge
-1.5875 4.3670 4.2199 S
-3.1333 7.0715 2.6952 S
0.3160 2.1917 2.6952 S
2.0561 0.8222 5.5296 S
0.0000 5.6274 1.1161 S
-0.2978 7.6324 4.2199 S
1.8853 4.8827 4.2199 S
2.9882 3.5583 1.3855 S
5.1712 0.8087 1.3855 S
4.8735 2.8137 3.9505 S
2.8173 7.6189 2.6952 S
4.5575 6.2493 5.5296 S
8.0068 1.3695 5.5296 S
6.4610 4.0741 1.3855 S
```

Results
Energy in eV per cell: -145.85
Formation energy (no corrections) in kJ/mol of atoms: -144.9

Density functional theory data (GGA-PBEsol) for a relaxed BaZnSN2 crystal.

Structure (POSCAR):
```
BaZnSN2
1.0
4.2820 0.0000 0.0000
0.0000 4.2820 0.0000
0.0000 0.0000 4.7309
Ba Zn S N
1 1 1 2
Cartesian
0.0000 0.0000 0.0000 Ba
2.1410 2.1410 2.3655 Zn
2.1410 2.1410 0.0000 S
0.0000 2.1410 2.3655 N
2.1410 0.0000 2.3655 N
```

Results
Energy in eV per cell: -23.04
Formation energy (no corrections) in kJ/mol of atoms: 41.1

Density functional theory data (GGA-PBEsol) for a relaxed SrAlZn2 crystal.

Structure (POSCAR):
```
SrAlZn2
1.0
4.6118 0.0000 0.0000
0.0000 4.6118 0.0000
0.0000 0.0000 4.0533
Sr Al Zn
1 1 2
Cartesian
0.0000 0.0000 0.0000 Sr
2.3059 2.3059 0.0000 Al
0.0000 2.3059 2.0266 Zn
2.3059 0.0000 2.0266 Zn
```

Results
Energy in eV per cell: -8.84
Energy relative to the elements in kJ per mole of atoms: 6

Density functional theory data (GGA-PBEsol) for a relaxed TbSnRh crystal.

Structure (POSCAR):
```
TbSnRh
1.0
7.5003 0.0000 0.0000
-3.7502 6.4955 0.0000
0.0000 0.0000 3.7627
Tb Sn Rh
3 3 3
Cartesian
-2.2251 3.8540 0.0000 Tb
1.5250 2.6415 0.0000 Tb
4.4502 0.0000 0.0000 Tb
-0.9829 1.7024 1.8814 Sn
1.9657 0.0000 1.8814 Sn
2.7673 4.7931 1.8814 Sn
0.0000 0.0000 0.0000 Rh
0.0000 4.3303 1.8814 Rh
3.7502 2.1652 1.8814 Rh
```

Results
Energy in eV per cell: -60.49
Energy relative to the elements in kJ per mole of atoms: -89